1.
Below is Ce2Mn2AlNi5 after structural relaxation, with properties calculated at the PBE-GGA level.

Lattice parameters (Å, degrees): 8.7783 8.7783 3.8128 90.00 90.00 90.00
Fractional coordinates of all 20 atoms:
1 Ce 0.1803 0.3197 0.0000
2 Ce 0.3197 0.8197 0.0000
3 Ce 0.6803 0.1803 0.0000
4 Ce 0.8197 0.6803 0.0000
5 Mn 0.1344 0.6344 0.0000
6 Mn 0.3656 0.1344 0.0000
7 Mn 0.6344 0.8656 0.0000
8 Mn 0.8656 0.3656 0.0000
9 Al 0.0000 0.0000 0.0000
10 Al 0.5000 0.5000 0.0000
11 Ni 0.0000 0.5000 0.5000
12 Ni 0.0574 0.8001 0.5000
13 Ni 0.1999 0.0574 0.5000
14 Ni 0.3001 0.5574 0.5000
15 Ni 0.4426 0.3001 0.5000
16 Ni 0.5000 0.0000 0.5000
17 Ni 0.5574 0.6999 0.5000
18 Ni 0.6999 0.4426 0.5000
19 Ni 0.8001 0.9426 0.5000
20 Ni 0.9426 0.1999 0.5000

Properties
crystal system	tetragonal
calculated formation energy	-0.187	eV per atom
magnetic moment	8.66	μB per cell

2.
Below is SnBRh2 after structural relaxation, with properties calculated at the PBE-GGA level.

Lattice parameters (Å, degrees): 6.6226 6.6226 6.6226 28.45 28.45 28.45
Fractional coordinates of all 4 atoms:
1 Sn 0.0000 0.0000 0.0000
2 B 0.5000 0.5000 0.5000
3 Rh 0.2225 0.2225 0.2225
4 Rh 0.7775 0.7775 0.7775

Properties
E above lowest polymorph	14.8	meV per atom
crystal system	trigonal
calculated formation energy	-0.338	eV per atom
magnetic moment	0.00	μB per cell

3.
Below is NaVSi2Ni after structural relaxation, with properties calculated at the PBE-GGA level.

Lattice parameters (Å, degrees): 4.6298 4.6298 4.4589 90.00 90.00 90.00
Fractional coordinates of all 5 atoms:
1 Na 0.0000 0.0000 0.0000
2 V 0.5000 0.5000 0.5000
3 Si 0.0000 0.5000 0.5000
4 Si 0.5000 0.0000 0.5000
5 Ni 0.5000 0.5000 0.0000

Properties
crystal system	tetragonal
formation energy from raw total energies	238	kJ/mol of formula units
magnetic moment	0.39	μB per cell

4.
Below is Np6SiSe12 after structural relaxation, with properties calculated at the PBE-GGA level.

Lattice parameters (Å, degrees): 8.0853 8.0853 8.0853 99.67 99.67 99.67
Fractional coordinates of all 19 atoms:
1 Np 0.1275 0.6322 0.8021
2 Np 0.1979 0.8725 0.3678
3 Np 0.3678 0.1979 0.8725
4 Np 0.6322 0.8021 0.1275
5 Np 0.8021 0.1275 0.6322
6 Np 0.8725 0.3678 0.1979
7 Si 0.5000 0.5000 0.5000
8 Se 0.0713 0.3220 0.9245
9 Se 0.0755 0.9287 0.6780
10 Se 0.1907 0.5302 0.4447
11 Se 0.3220 0.9245 0.0713
12 Se 0.4447 0.1907 0.5302
13 Se 0.4698 0.5553 0.8093
14 Se 0.5302 0.4447 0.1907
15 Se 0.5553 0.8093 0.4698
16 Se 0.6780 0.0755 0.9287
17 Se 0.8093 0.4698 0.5553
18 Se 0.9245 0.0713 0.3220
19 Se 0.9287 0.6780 0.0755

Properties
crystal system	trigonal
formation energy from raw total energies	-1802	kJ/mol of formula units
magnetic moment	21.82	μB per cell

5.
Below is LuGa2Ge after structural relaxation, with properties calculated at the PBE-GGA level.

Lattice parameters (Å, degrees): 4.8798 4.8798 4.8798 60.00 60.00 60.00
Fractional coordinates of all 4 atoms:
1 Lu 0.0000 0.0000 0.0000
2 Ga 0.2500 0.2500 0.2500
3 Ga 0.7500 0.7500 0.7500
4 Ge 0.5000 0.5000 0.5000

Properties
E above lowest polymorph	292.1	meV per atom
crystal system	cubic
calculated formation energy	-0.161	eV per atom
magnetic moment	0.00	μB per cell

6.
Below is Ce4SmBi6 after structural relaxation, with properties calculated at the PBE-GGA level.

Lattice parameters (Å, degrees): 9.0133 9.0133 9.0133 88.70 88.70 88.70
Fractional coordinates of all 22 atoms:
1 Ce 0.1404 0.7500 0.3596
2 Ce 0.2500 0.2500 0.2500
3 Ce 0.2500 0.6404 0.8596
4 Ce 0.3596 0.1404 0.7500
5 Ce 0.6404 0.8596 0.2500
6 Ce 0.7500 0.3596 0.1404
7 Ce 0.7500 0.7500 0.7500
8 Ce 0.8596 0.2500 0.6404
9 Sm 0.0000 0.0000 0.0000
10 Sm 0.5000 0.5000 0.5000
11 Bi 0.0659 0.9204 0.6696
12 Bi 0.0796 0.3304 0.9341
13 Bi 0.1696 0.4204 0.5659
14 Bi 0.3304 0.9341 0.0795
15 Bi 0.4205 0.5659 0.1696
16 Bi 0.4341 0.8304 0.5796
17 Bi 0.5659 0.1696 0.4205
18 Bi 0.5796 0.4341 0.8304
19 Bi 0.6696 0.0659 0.9204
20 Bi 0.8304 0.5796 0.4341
21 Bi 0.9205 0.6696 0.0659
22 Bi 0.9341 0.0795 0.3304

Properties
crystal system	trigonal
calculated formation energy	-0.650	eV per atom
magnetic moment	5.22	μB per cell

7.
Below is Cd2POs after structural relaxation, with properties calculated at the PBE-GGA level.

Lattice parameters (Å, degrees): 3.8756 3.8756 4.5596 90.00 90.00 90.00
Fractional coordinates of all 4 atoms:
1 Cd 0.0000 0.5000 0.0000
2 Cd 0.5000 0.0000 0.0000
3 P 0.0000 0.0000 0.5000
4 Os 0.5000 0.5000 0.5000

Properties
E above lowest polymorph	640.6	meV per atom
crystal system	tetragonal
calculated formation energy	0.699	eV per atom
magnetic moment	0.00	μB per cell

8.
Below is GeIrF2 after structural relaxation, with properties calculated at the PBE-GGA level.

Lattice parameters (Å, degrees): 8.3436 8.3436 8.3436 154.84 154.84 35.88
Fractional coordinates of all 8 atoms:
1 Ge 0.0000 0.0000 0.0000
2 Ge 0.7500 0.2500 0.5000
3 Ir 0.2500 0.7500 0.5000
4 Ir 0.5000 0.5000 0.0000
5 F 0.1384 0.6250 0.0134
6 F 0.3750 0.3884 0.5134
7 F 0.6116 0.1250 0.9866
8 F 0.8750 0.8616 0.4866

Properties
E above lowest polymorph	234.6	meV per atom
crystal system	tetragonal
formation energy from raw total energies	-220	kJ/mol of formula units
magnetic moment	0.00	μB per cell

Ordered mass density results: 8.03, 9.55, 3.28, 7.91, 7.82, 8.92, 10.81, 9.59; unit g/cm³.
Ordered raw total energy results: -6.472, -6.684, -4.920, -7.556, -3.959, -5.353, -3.918, -4.875; unit eV per atom.